Record 1
A plane-wave DFT calculation with PBE was carried out for crystalline TiAlAsBr2 at its relaxed geometry.

Cell and atoms, written as CIF:
```
data_TiAlAsBr2
_symmetry_space_group_name_H-M 'P 4/m m m'
_symmetry_Int_Tables_number 123
_symmetry_space_group_name_Hall '-P 4 2'
_cell_length_a 5.137
_cell_length_b 5.137
_cell_length_c 5.034
_cell_angle_alpha 90.00
_cell_angle_beta 90.00
_cell_angle_gamma 90.00
loop_
_atom_site_label
_atom_site_type_symbol
_atom_site_fract_x
_atom_site_fract_y
_atom_site_fract_z
Ti1 Ti 0.000 0.000 0.000
Al1 Al 0.500 0.500 0.500
As1 As 0.000 0.000 0.500
Br1 Br 0.000 0.500 0.000
```

Summary:
DOS(E_F)   3.605 states/eV/cell
Energy above the lowest structure with this stoichiometry   0 meV per atom
Magnetization   0.00 μB per formula unit
Formation energy without anion corrections   -0.195 eV/atom
V   132.8 Å³ per cell

Record 2
A plane-wave DFT calculation with PBE was carried out for crystalline AlAs2WBr at its relaxed geometry.

Cell and atoms, written as CIF:
```
data_AlAs2WBr
_symmetry_space_group_name_H-M 'P 4/m m m'
_symmetry_Int_Tables_number 123
_symmetry_space_group_name_Hall '-P 4 2'
_cell_length_a 4.853
_cell_length_b 4.853
_cell_length_c 5.529
_cell_angle_alpha 90.00
_cell_angle_beta 90.00
_cell_angle_gamma 90.00
loop_
_atom_site_label
_atom_site_type_symbol
_atom_site_fract_x
_atom_site_fract_y
_atom_site_fract_z
Al1 Al 0.000 0.000 0.000
As1 As 0.000 0.500 0.500
W1 W 0.500 0.500 0.500
Br1 Br 0.500 0.500 0.000
```

Summary:
DOS(E_F)   2.871 states/eV/cell
Energy above the lowest structure with this stoichiometry   0 meV per atom
Magnetization   0.52 μB per formula unit
Formation energy without anion corrections   0.508 eV/atom
V   130.2 Å³ per cell